Record 1
# LiPu2Tl6 PBE relaxed
data_LiPu2Tl6
_space_group_name_H-M_alt 'C 1 2/m 1'
_space_group_IT_number 12
_space_group_name_Hall '-C 2y'
_cell_length_a 15.903
_cell_length_b 9.365
_cell_length_c 3.295
_cell_angle_alpha 90.00
_cell_angle_beta 90.03
_cell_angle_gamma 90.00
loop_
_atom_site_label
_atom_site_type_symbol
_atom_site_fract_x
_atom_site_fract_y
_atom_site_fract_z
_atom_site_occupancy
Li1 Li 0.000 0.000 0.000 1
Pu1 Pu 0.167 0.500 0.000 1
Tl1 Tl 0.000 0.331 0.500 1
Tl2 Tl 0.164 0.164 0.503 1
# Energy, Ha/atom: -0.182
# Distance to the lowest polymorph of the same formula, meV/atom: 0
# DFT formation energy, meV per atom: 10
# N(E_F), states/eV per cell: 43.613

=====

Record 2
# LiPu2Tl3 PBE relaxed
data_LiPu2Tl3
_space_group_name_H-M_alt 'P 4/m m m'
_space_group_IT_number 123
_space_group_name_Hall '-P 4 2'
_cell_length_a 3.370
_cell_length_b 3.370
_cell_length_c 13.071
_cell_angle_alpha 90.00
_cell_angle_beta 90.00
_cell_angle_gamma 90.00
loop_
_atom_site_label
_atom_site_type_symbol
_atom_site_fract_x
_atom_site_fract_y
_atom_site_fract_z
_atom_site_occupancy
Li1 Li 0.000 0.000 0.000 1
Pu1 Pu 0.000 0.000 0.318 1
Tl1 Tl 0.500 0.500 0.135 1
Tl2 Tl 0.500 0.500 0.500 1
# Energy, Ha/atom: -0.234
# DFT formation energy, meV per atom: -100
# N(E_F), states/eV per cell: 12.955

=====

Record 3
# Li4PuTl5 PBE relaxed
data_Li4PuTl5
_space_group_name_H-M_alt 'P 4/m m m'
_space_group_IT_number 123
_space_group_name_Hall '-P 4 2'
_cell_length_a 3.550
_cell_length_b 3.550
_cell_length_c 17.727
_cell_angle_alpha 90.00
_cell_angle_beta 90.00
_cell_angle_gamma 90.00
loop_
_atom_site_label
_atom_site_type_symbol
_atom_site_fract_x
_atom_site_fract_y
_atom_site_fract_z
_atom_site_occupancy
Li1 Li 0.000 0.000 0.096 1
Li2 Li 0.000 0.000 0.284 1
Pu1 Pu 0.000 0.000 0.500 1
Tl1 Tl 0.500 0.500 0.000 1
Tl2 Tl 0.500 0.500 0.190 1
Tl3 Tl 0.500 0.500 0.376 1
# Energy, Ha/atom: -0.131
# DFT formation energy, meV per atom: -177
# N(E_F), states/eV per cell: 10.872

=====

Record 4
# LiPu2Tl9 PBE relaxed
data_LiPu2Tl9
_space_group_name_H-M_alt 'P 4/m m m'
_space_group_IT_number 123
_space_group_name_Hall '-P 4 2'
_cell_length_a 4.799
_cell_length_b 4.799
_cell_length_c 14.195
_cell_angle_alpha 90.00
_cell_angle_beta 90.00
_cell_angle_gamma 90.00
loop_
_atom_site_label
_atom_site_type_symbol
_atom_site_fract_x
_atom_site_fract_y
_atom_site_fract_z
_atom_site_occupancy
Li1 Li 0.000 0.000 0.000 1
Pu1 Pu 0.000 0.000 0.329 1
Tl1 Tl 0.000 0.500 0.160 1
Tl2 Tl 0.000 0.500 0.500 1
Tl3 Tl 0.500 0.500 0.000 1
Tl4 Tl 0.500 0.500 0.334 1
# Energy, Ha/atom: -0.160
# DFT formation energy, meV per atom: -27
# N(E_F), states/eV per cell: 29.470

=====

Record 5
# LiPuTl5 PBE relaxed
data_LiPuTl5
_space_group_name_H-M_alt 'P 4/m m m'
_space_group_IT_number 123
_space_group_name_Hall '-P 4 2'
_cell_length_a 4.790
_cell_length_b 4.790
_cell_length_c 8.268
_cell_angle_alpha 90.00
_cell_angle_beta 90.00
_cell_angle_gamma 90.00
loop_
_atom_site_label
_atom_site_type_symbol
_atom_site_fract_x
_atom_site_fract_y
_atom_site_fract_z
_atom_site_occupancy
Li1 Li 0.000 0.000 0.000 1
Pu1 Pu 0.500 0.500 0.500 1
Tl1 Tl 0.000 0.000 0.500 1
Tl2 Tl 0.000 0.500 0.199 1
# Energy, Ha/atom: -0.147
# Distance to the lowest polymorph of the same formula, meV/atom: 63
# DFT formation energy, meV per atom: 12
# N(E_F), states/eV per cell: 16.484

=====

Record 6
# LiPuTl4 PBE relaxed
data_LiPuTl4
_space_group_name_H-M_alt 'C 1 2/m 1'
_space_group_IT_number 12
_space_group_name_Hall '-C 2y'
_cell_length_a 5.072
_cell_length_b 5.032
_cell_length_c 12.449
_cell_angle_alpha 90.00
_cell_angle_beta 90.37
_cell_angle_gamma 90.00
loop_
_atom_site_label
_atom_site_type_symbol
_atom_site_fract_x
_atom_site_fract_y
_atom_site_fract_z
_atom_site_occupancy
Li1 Li 0.000 0.000 0.000 1
Pu1 Pu 0.000 0.500 0.500 1
Tl1 Tl 0.001 0.500 0.856 1
Tl2 Tl 0.002 0.000 0.679 1
# Energy, Ha/atom: -0.159
# Distance to the lowest polymorph of the same formula, meV/atom: 0
# DFT formation energy, meV per atom: -44
# N(E_F), states/eV per cell: 17.666

=====

Record 7
# Li5PuTl6 PBE relaxed
data_Li5PuTl6
_space_group_name_H-M_alt 'I m m m'
_space_group_IT_number 71
_space_group_name_Hall '-I 2 2'
_cell_length_a 4.923
_cell_length_b 7.402
_cell_length_c 14.999
_cell_angle_alpha 90.00
_cell_angle_beta 90.00
_cell_angle_gamma 90.00
loop_
_atom_site_label
_atom_site_type_symbol
_atom_site_fract_x
_atom_site_fract_y
_atom_site_fract_z
_atom_site_occupancy
Li1 Li 0.000 0.000 0.000 1
Li2 Li 0.000 0.000 0.333 1
Li3 Li 0.000 0.500 0.326 1
Pu1 Pu 0.000 0.500 0.000 1
Tl1 Tl 0.000 0.238 0.171 1
Tl2 Tl 0.000 0.276 0.500 1
# Energy, Ha/atom: -0.123
# DFT formation energy, meV per atom: -159
# N(E_F), states/eV per cell: 33.761

=====

Record 8
# LiPuTl2 PBE relaxed
data_LiPuTl2
_space_group_name_H-M_alt 'P 4/m m m'
_space_group_IT_number 123
_space_group_name_Hall '-P 4 2'
_cell_length_a 5.490
_cell_length_b 5.490
_cell_length_c 3.461
_cell_angle_alpha 90.00
_cell_angle_beta 90.00
_cell_angle_gamma 90.00
loop_
_atom_site_label
_atom_site_type_symbol
_atom_site_fract_x
_atom_site_fract_y
_atom_site_fract_z
_atom_site_occupancy
Li1 Li 0.000 0.000 0.000 1
Pu1 Pu 0.500 0.500 0.000 1
Tl1 Tl 0.000 0.500 0.500 1
# Energy, Ha/atom: -0.195
# DFT formation energy, meV per atom: -74
# N(E_F), states/eV per cell: 10.848

=====

Record 9
# Li2TmPuTl4 PBE relaxed
data_Li2TmPuTl4
_space_group_name_H-M_alt 'R -3 m'
_space_group_IT_number 166
_space_group_name_Hall '-R 3 2"'
_cell_length_a 5.1881
_cell_length_b 5.1881
_cell_length_c 25.5125
_cell_angle_alpha 90.00
_cell_angle_beta 90.00
_cell_angle_gamma 120.00
loop_
_atom_site_label
_atom_site_type_symbol
_atom_site_fract_x
_atom_site_fract_y
_atom_site_fract_z
_atom_site_occupancy
Li1 Li 0.0000 0.0000 0.2487 1
Tm1 Tm 0.0000 0.0000 0.5000 1
Pu1 Pu 0.0000 0.0000 0.0000 1
Tl1 Tl 0.0000 0.0000 0.1263 1
Tl2 Tl 0.0000 0.0000 0.3765 1
# Energy, Ha/atom: -0.155
# DFT formation energy, meV per atom: -193
# N(E_F), states/eV per cell: 42.252

=====

Record 10
# LiTm2PuTl4 PBE relaxed
data_LiTm2PuTl4
_space_group_name_H-M_alt 'R -3 m'
_space_group_IT_number 166
_space_group_name_Hall '-R 3 2"'
_cell_length_a 5.2421
_cell_length_b 5.2421
_cell_length_c 26.2820
_cell_angle_alpha 90.00
_cell_angle_beta 90.00
_cell_angle_gamma 120.00
loop_
_atom_site_label
_atom_site_type_symbol
_atom_site_fract_x
_atom_site_fract_y
_atom_site_fract_z
_atom_site_occupancy
Li1 Li 0.0000 0.0000 0.0000 1
Tm1 Tm 0.0000 0.0000 0.2515 1
Pu1 Pu 0.0000 0.0000 0.5000 1
Tl1 Tl 0.0000 0.0000 0.1208 1
Tl2 Tl 0.0000 0.0000 0.3716 1
# Energy, Ha/atom: -0.166
# DFT formation energy, meV per atom: -195
# N(E_F), states/eV per cell: 34.928

=====

Record 11
# LiTmPuTl PBE relaxed
data_LiTmPuTl
_space_group_name_H-M_alt 'F -4 3 m'
_space_group_IT_number 216
_space_group_name_Hall 'F -4 2 3'
_cell_length_a 7.470
_cell_length_b 7.470
_cell_length_c 7.470
_cell_angle_alpha 90.00
_cell_angle_beta 90.00
_cell_angle_gamma 90.00
loop_
_atom_site_label
_atom_site_type_symbol
_atom_site_fract_x
_atom_site_fract_y
_atom_site_fract_z
_atom_site_occupancy
Li1 Li 0.000 0.000 0.000 1
Tm1 Tm 0.250 0.250 0.750 1
Pu1 Pu 0.250 0.250 0.250 1
Tl1 Tl 0.000 0.000 0.500 1
# Energy, Ha/atom: -0.210
# DFT formation energy, meV per atom: 46
# N(E_F), states/eV per cell: 35.125

=====

Record 12
# LiY2PuTl4 PBE relaxed
data_LiY2PuTl4
_space_group_name_H-M_alt 'R -3 m'
_space_group_IT_number 166
_space_group_name_Hall '-R 3 2"'
_cell_length_a 5.2784
_cell_length_b 5.2784
_cell_length_c 26.4833
_cell_angle_alpha 90.00
_cell_angle_beta 90.00
_cell_angle_gamma 120.00
loop_
_atom_site_label
_atom_site_type_symbol
_atom_site_fract_x
_atom_site_fract_y
_atom_site_fract_z
_atom_site_occupancy
Li1 Li 0.0000 0.0000 0.0000 1
Y1 Y 0.0000 0.0000 0.2524 1
Pu1 Pu 0.0000 0.0000 0.5000 1
Tl1 Tl 0.0000 0.0000 0.1219 1
Tl2 Tl 0.0000 0.0000 0.3722 1
# Energy, Ha/atom: -0.186
# DFT formation energy, meV per atom: -225
# N(E_F), states/eV per cell: 36.939

=====

Record 13
# LiPuTlZn PBE relaxed
data_LiPuTlZn
_space_group_name_H-M_alt 'F -4 3 m'
_space_group_IT_number 216
_space_group_name_Hall 'F -4 2 3'
_cell_length_a 7.136
_cell_length_b 7.136
_cell_length_c 7.136
_cell_angle_alpha 90.00
_cell_angle_beta 90.00
_cell_angle_gamma 90.00
loop_
_atom_site_label
_atom_site_type_symbol
_atom_site_fract_x
_atom_site_fract_y
_atom_site_fract_z
_atom_site_occupancy
Li1 Li 0.000 0.000 0.000 1
Pu1 Pu 0.000 0.000 0.500 1
Tl1 Tl 0.250 0.250 0.750 1
Zn1 Zn 0.250 0.250 0.250 1
# Energy, Ha/atom: -0.183
# DFT formation energy, meV per atom: -18
# N(E_F), states/eV per cell: 45.005